A geometry-optimized Y2MgSn structure, computed with GGA-PBE.

For the volume, the calculation gives 121 Å³/f.u. The total DFT energy (no corrections) is -54.9 eV per cell. For the formation energy, the calculation gives 57.5 meV per atom. The calculation puts the total magnetization at 0.00 μB/f.u.

The structure belongs to space group R-3m (No. 166, hexagonal axes); the cell edges are 3.4878, 3.4878 and 34.5369 Å and the angles 90.00°, 90.00° and 120.00°. The distinct sites, in fractional coordinates, are Y at (0.0000, 0.0000, 0.0904), Mg at (0.0000, 0.0000, 0.5000) and Sn at (0.0000, 0.0000, 0.0000).

***

A geometry-optimized Rb2NaAuI6 structure, computed with GGA-PBE.

For the volume, the calculation gives 427 Å³/f.u. As for the uncorrected formation energy: -0.760 eV per atom. The total DFT energy (no corrections) is -46.9 eV per cell. The calculation puts the total magnetization at 0.00 μB/f.u.

The structure belongs to space group I4/mmm (No. 139); the cell edges are 8.446, 8.446 and 11.979 Å and the angles 90.00°, 90.00° and 90.00°. The distinct sites, in fractional coordinates, are Rb at (0.000, 0.500, 0.250), Na at (0.000, 0.000, 0.000), Au at (0.000, 0.000, 0.500), I at (0.000, 0.000, 0.260) and I at (0.239, 0.239, 0.500).

***

A geometry-optimized ReRu2Rh2 structure, computed with GGA-PBE.

For the volume, the calculation gives 74 Å³/f.u. For the energy above the most stable polymorph in this dataset, the calculation gives 381 meV per atom. The total DFT energy (no corrections) is -87.6 eV per cell. For the formation energy, the calculation gives 377.0 meV per atom. The calculation puts the total magnetization at 0.00 μB/f.u.

The structure belongs to space group P4/mbm (No. 127); the cell edges are 7.340, 7.340 and 2.732 Å and the angles 90.00°, 90.00° and 90.00°. The distinct sites, in fractional coordinates, are Re at (0.000, 0.000, 0.000), Ru at (0.174, 0.326, 0.500) and Rh at (0.124, 0.624, 0.000).

***

A geometry-optimized AgRh2Br structure, computed with GGA-PBE.

For the volume, the calculation gives 74 Å³/f.u. For the energy above the most stable polymorph in this dataset, the calculation gives 0 meV per atom. As for the uncorrected formation energy: 0.305 eV per atom. The total DFT energy (no corrections) is -18.0 eV per cell. The calculation puts the total magnetization at 0.00 μB/f.u.

The structure belongs to space group Pm (No. 6); the cell edges are 3.009, 3.157 and 7.807 Å and the angles 90.00°, 90.08° and 90.00°. The distinct sites, in fractional coordinates, are Ag at (0.000, 0.000, 0.000), Rh at (0.002, 0.000, 0.420), Rh at (0.501, 0.500, 0.235) and Br at (0.003, 0.500, 0.679).

***

A geometry-optimized NbCrW structure, computed with GGA-PBE.

For the volume, the calculation gives 46 Å³/f.u. For the energy above the most stable polymorph in this dataset, the calculation gives 28 meV per atom. The total DFT energy (no corrections) is -130.0 eV per cell. For the formation energy, the calculation gives 49.4 meV per atom. The calculation puts the total magnetization at 0.00 μB/f.u.

The structure belongs to space group Cmmm (No. 65); the cell edges are 4.457, 9.473 and 4.399 Å and the angles 90.00°, 90.00° and 90.00°. The distinct sites, in fractional coordinates, are Nb at (0.000, 0.000, 0.000), Nb at (0.000, 0.500, 0.500), Cr at (0.000, 0.173, 0.500) and W at (0.000, 0.327, 0.000).

***

A geometry-optimized ScAl2Pb structure, computed with GGA-PBE.

For the volume, the calculation gives 82 Å³/f.u. The total DFT energy (no corrections) is -36.5 eV per cell. For the formation energy, the calculation gives -185.2 meV per atom. The calculation puts the total magnetization at 0.00 μB/f.u.

The structure belongs to space group I-4m2 (No. 119); the cell edges are 4.169, 4.169 and 9.437 Å and the angles 90.00°, 90.00° and 90.00°. The distinct sites, in fractional coordinates, are Sc at (0.000, 0.000, 0.000), Al at (0.000, 0.000, 0.500), Al at (0.000, 0.500, 0.750) and Pb at (0.000, 0.500, 0.250).